Here is an optimized crystal structure of Rb2AsPd from Alexandria via LeMat-Bulk. Energies are from PBE-GGA.

Cell: 9.5225 9.5225 9.5225 Å, 93.48 93.48 151.48°
Fractional coordinates of all 8 atoms:
Rb 0.3750 0.1494 0.2744
Rb 0.8506 0.1250 0.2256
Rb 0.8750 0.1006 0.7256
Rb 0.8994 0.6250 0.7744
As 0.2500 0.7500 0.5000
As 0.5000 0.5000 0.0000
Pd 0.0000 0.0000 0.0000
Pd 0.7500 0.2500 0.5000

Output
Density = 2928 kg/m³
Space-group type = I-42d, No. 122
Energy relative to the elements = -0.287 eV/atom
Final energy = -3.23 eV/atom